(1)
The following is a DFT calculation (PBE) of a relaxed structure of Cr2SiH.

a = 3.9693 Å, b = 3.9693 Å, c = 3.9693 Å
α = 60.00°, β = 60.00°, γ = 60.00°
Each line ends with the local moment (μB).
Element x y z (fractional)
H (0.0000, 0.0000, 0.0000)  -0.03
Cr (0.7500, 0.7500, 0.7500)  2.01
Si (0.5000, 0.5000, 0.5000)  -0.10
Cr (0.2500, 0.2500, 0.2500)  2.01

Computed properties:
**Energy above the lowest structure with this stoichiometry**: 480 meV/atom
**DFT total energy**: -6.571 eV/atom



(2)
The following is a DFT calculation (PBE) of a relaxed structure of CrSiH2.

a = 3.5296 Å, b = 3.5296 Å, c = 6.0104 Å
α = 72.92°, β = 72.92°, γ = 90.00°
Each line ends with the local moment (μB).
Element x y z (fractional)
H (0.3750, 0.3141, 0.7500)  -0.01
H (0.8750, 0.9359, 0.7500)  -0.02
Cr (0.7500, 0.2500, 0.5000)  2.02
Si (0.2500, 0.7500, 0.5000)  -0.06
Si (0.5000, 0.5000, 0.0000)  -0.06
H (0.0641, 0.6250, 0.2500)  -0.02
Cr (0.0000, 0.0000, 0.0000)  2.01
H (0.6859, 0.1250, 0.2500)  -0.02

Computed properties:
**Energy above the lowest structure with this stoichiometry**: 0 meV/atom
**DFT total energy**: -5.083 eV/atom



(3)
The following is a DFT calculation (PBE) of a relaxed structure of CrSi2H.

a = 4.0587 Å, b = 4.0587 Å, c = 4.0587 Å
α = 60.00°, β = 60.00°, γ = 60.00°
Each line ends with the local moment (μB).
Element x y z (fractional)
Si (0.7500, 0.7500, 0.7500)  -0.02
Si (0.2500, 0.2500, 0.2500)  -0.02
H (0.0000, 0.0000, 0.0000)  0.03
Cr (0.5000, 0.5000, 0.5000)  2.52

Computed properties:
**Energy above the lowest structure with this stoichiometry**: 394 meV/atom
**DFT total energy**: -5.317 eV/atom



(4)
The following is a DFT calculation (PBE) of a relaxed structure of Cr3SiH.

a = 3.6770 Å, b = 3.6770 Å, c = 3.6770 Å
α = 90.00°, β = 90.00°, γ = 90.00°
Each line ends with the local moment (μB).
Element x y z (fractional)
Si (0.5000, 0.5000, 0.5000)  -0.04
H (0.0000, 0.0000, 0.0000)  0.00
Cr (0.5000, 0.0000, 0.0000)  0.88
Cr (0.0000, 0.5000, 0.0000)  0.67
Cr (0.0000, 0.0000, 0.5000)  0.77

Computed properties:
**Energy above the lowest structure with this stoichiometry**: 0 meV/atom
**DFT total energy**: -7.580 eV/atom



(5)
The following is a DFT calculation (PBE) of a relaxed structure of VCr2SiH.

a = 3.7546 Å, b = 3.7546 Å, c = 3.6465 Å
α = 90.00°, β = 90.00°, γ = 90.00°
Each line ends with the local moment (μB).
Element x y z (fractional)
Cr (0.5000, 0.0000, 0.0000)  1.02
V (0.0000, 0.0000, 0.5000)  -0.48
Si (0.5000, 0.5000, 0.5000)  -0.03
H (0.0000, 0.0000, 0.0000)  0.00
Cr (0.0000, 0.5000, 0.0000)  1.02

Computed properties:
**DFT total energy**: -7.598 eV/atom



(6)
The following is a DFT calculation (PBE) of a relaxed structure of V2CrSiH.

a = 3.7710 Å, b = 3.7710 Å, c = 3.7155 Å
α = 90.00°, β = 90.00°, γ = 90.00°
Each line ends with the local moment (μB).
Element x y z (fractional)
V (0.5000, 0.0000, 0.0000)  -0.21
Cr (0.0000, 0.0000, 0.5000)  1.00
V (0.0000, 0.5000, 0.0000)  -0.21
H (0.0000, 0.0000, 0.0000)  0.00
Si (0.5000, 0.5000, 0.5000)  -0.01

Computed properties:
**DFT total energy**: -7.592 eV/atom



(7)
The following is a DFT calculation (PBE) of a relaxed structure of CrSiHW2.

a = 4.4975 Å, b = 4.3410 Å, c = 4.4975 Å
α = 90.00°, β = 90.00°, γ = 90.00°
Element x y z (fractional)
Si (0.0000, 0.5000, 0.0000)
W (0.0000, 0.0000, 0.5000)
H (0.5000, 0.5000, 0.5000)
Cr (0.0000, 0.0000, 0.0000)
W (0.5000, 0.0000, 0.0000)

Computed properties:
**DFT total energy**: -6.972 eV/atom



(8)
The following is a DFT calculation (PBE) of a relaxed structure of ZrCr2SiH.

a = 4.9294 Å, b = 3.4612 Å, c = 4.9294 Å
α = 90.00°, β = 90.00°, γ = 90.00°
Each line ends with the local moment (μB).
Element x y z (fractional)
H (0.0000, 0.5000, 0.0000)  0.02
Si (0.5000, 0.5000, 0.5000)  -0.09
Cr (0.5000, 0.0000, 0.0000)  3.22
Cr (0.0000, 0.0000, 0.5000)  2.74
Zr (0.0000, 0.0000, 0.0000)  -0.26

Computed properties:
**DFT total energy**: -6.170 eV/atom



(9)
The following is a DFT calculation (PBE) of a relaxed structure of ZrCrSiH2.

a = 3.6125 Å, b = 5.4285 Å, c = 3.6125 Å
α = 90.00°, β = 90.00°, γ = 90.00°
Each line ends with the local moment (μB).
Element x y z (fractional)
H (0.0000, 0.0000, 0.5000)  0.01
Cr (0.0000, 0.5000, 0.0000)  2.21
Si (0.5000, 0.5000, 0.5000)  -0.12
Zr (0.0000, 0.0000, 0.0000)  -0.08
H (0.5000, 0.0000, 0.0000)  0.01

Computed properties:
**DFT total energy**: -5.611 eV/atom



(10)
The following is a DFT calculation (PBE) of a relaxed structure of SmCr2H7.

a = 3.3400 Å, b = 5.1454 Å, c = 5.3194 Å
α = 118.92°, β = 90.00°, γ = 90.00°
Each line ends with the local moment (μB).
Element x y z (fractional)
Cr (0.5000, 0.3170, 0.6340)  2.31
H (0.5000, 0.6775, 0.7009)  -0.02
H (0.5000, 0.5000, 0.0000)  -0.03
H (0.0000, 0.3669, 0.7339)  -0.02
Cr (0.5000, 0.6830, 0.3660)  2.31
H (0.0000, 0.6331, 0.2661)  -0.02
H (0.5000, 0.9766, 0.2991)  -0.02
Sm (0.0000, 0.0000, 0.0000)  -0.05
H (0.5000, 0.3225, 0.2991)  -0.02
H (0.5000, 0.0234, 0.7009)  -0.02

Computed properties:
**DFT total energy**: -4.852 eV/atom



(11)
The following is a DFT calculation (PBE) of a relaxed structure of SmCr2H8.

a = 4.4989 Å, b = 4.5116 Å, c = 4.5116 Å
α = 121.69°, β = 90.00°, γ = 90.00°
Each line ends with the local moment (μB).
Element x y z (fractional)
H (0.8352, 0.5736, 0.5736)  -0.01
H (0.3172, 0.0580, 0.5957)  -0.01
Sm (0.0909, 0.0724, 0.0724)  0.04
H (0.5909, 0.0476, 0.2822)  -0.01
Cr (0.5910, 0.3795, 0.7297)  1.06
H (0.8647, 0.0580, 0.5957)  -0.01
H (0.3172, 0.5957, 0.0580)  -0.01
Cr (0.5910, 0.7297, 0.3795)  1.06
H (0.3467, 0.5736, 0.5736)  -0.01
H (0.5909, 0.2822, 0.0476)  -0.01
H (0.8647, 0.5957, 0.0580)  -0.01

Computed properties:
**DFT total energy**: -4.785 eV/atom



(12)
The following is a DFT calculation (PBE) of a relaxed structure of Cr2Sn2H.

a = 6.0498 Å, b = 6.0498 Å, c = 4.4776 Å
α = 90.00°, β = 90.00°, γ = 90.00°
Each line ends with the local moment (μB).
Element x y z (fractional)
Cr (0.6632, 0.1632, 0.0000)  3.04
Cr (0.8368, 0.6632, 0.0000)  3.01
H (0.5000, 0.5000, 0.0000)  -0.07
H (0.0000, 0.0000, 0.0000)  -0.07
Cr (0.3368, 0.8368, 0.0000)  3.04
Sn (0.1685, 0.6685, 0.5000)  -0.16
Sn (0.8315, 0.3315, 0.5000)  -0.16
Sn (0.6685, 0.8315, 0.5000)  -0.17
Sn (0.3315, 0.1685, 0.5000)  -0.17
Cr (0.1632, 0.3368, 0.0000)  3.01

Computed properties:
**DFT total energy**: -5.691 eV/atom